Entry 1:
Computed, not measured: a PBEsol-optimized structure of ErTiFe11C at the SCAN level of DFT.

Structure (CIF):
```
data_ErTiFe11C
_chemical_formula_sum 'Er2 Ti2 Fe22 C2'
_symmetry_space_group_name_H-M 'I m m 2'
_symmetry_Int_Tables_number 44
_cell_length_a 4.7070
_cell_length_b 8.3844
_cell_length_c 8.3249
_cell_angle_alpha 90.00
_cell_angle_beta 90.00
_cell_angle_gamma 90.00
loop_
_symmetry_equiv_pos_as_xyz
'x,y,z'
'-x,-y,z'
'-x,y,z'
'x,-y,z'
'x+1/2,y+1/2,z+1/2'
'-x+1/2,-y+1/2,z+1/2'
'-x+1/2,y+1/2,z+1/2'
'x+1/2,-y+1/2,z+1/2'
loop_
_atom_site_label
_atom_site_fract_x
_atom_site_fract_y
_atom_site_fract_z
Er1 0.0000 0.0000 0.0000
Ti1 0.0000 0.0000 0.6237
Fe1 0.0000 0.0000 0.3460
Fe2 0.0000 0.2796 0.4900
Fe3 0.0000 0.3570 0.9921
Fe4 0.0000 0.5000 0.2687
Fe5 0.0000 0.5000 0.7170
Fe6 0.2498 0.2488 0.2434
C1 0.0000 0.5000 0.4932
```

**Calculated formation energy**: -0.10 eV per atom
**E_tot**: -0.7277 Ha/atom
**Crystal system**: orthorhombic

Entry 2:
Computed, not measured: a PBEsol-optimized structure of SiAgBr2 at the SCAN level of DFT.

Structure (CIF):
```
data_SiAgBr2
_chemical_formula_sum 'Si4 Ag4 Br8'
_symmetry_space_group_name_H-M 'F m -3 m'
_symmetry_Int_Tables_number 225
_symmetry_space_group_name_Hall '-F 4 2 3'
_cell_length_a 6.9590
_cell_length_b 6.9590
_cell_length_c 6.9590
_cell_angle_alpha 90.00
_cell_angle_beta 90.00
_cell_angle_gamma 90.00
loop_
_atom_site_label
_atom_site_fract_x
_atom_site_fract_y
_atom_site_fract_z
Si1 0.0000 0.0000 0.0000
Ag1 0.0000 0.0000 0.5000
Br1 0.2500 0.2500 0.2500
```

**E_tot**: -0.7240 Ha/atom
**Formation energy (no corrections)**: 373.1 meV/atom
**Energy above the most stable polymorph in this dataset**: 323 meV/atom
**Crystal system**: cubic

Entry 3:
Computed, not measured: a PBEsol-optimized structure of RbMn3Au at the SCAN level of DFT.

Structure (CIF):
```
data_RbMn3Au
_chemical_formula_sum 'Rb1 Mn3 Au1'
_symmetry_space_group_name_H-M 'P m -3 m'
_symmetry_Int_Tables_number 221
_symmetry_space_group_name_Hall '-P 4 2 3'
_cell_length_a 4.6679
_cell_length_b 4.6679
_cell_length_c 4.6679
_cell_angle_alpha 90.00
_cell_angle_beta 90.00
_cell_angle_gamma 90.00
loop_
_atom_site_label
_atom_site_fract_x
_atom_site_fract_y
_atom_site_fract_z
Rb1 0.0000 0.0000 0.0000
Mn1 0.0000 0.0000 0.5000
Au1 0.5000 0.5000 0.5000
```

**Calculated formation energy**: 2.05 eV per atom
**E_tot**: -0.9879 Ha/atom
**Crystal system**: cubic

Entry 4:
Computed, not measured: a PBEsol-optimized structure of LaNd3 at the SCAN level of DFT.

Structure (CIF):
```
data_LaNd3
_chemical_formula_sum 'La2 Nd6'
_symmetry_space_group_name_H-M 'I 4/m m m'
_symmetry_Int_Tables_number 139
_symmetry_space_group_name_Hall '-I 4 2'
_cell_length_a 5.1117
_cell_length_b 5.1117
_cell_length_c 10.2033
_cell_angle_alpha 90.00
_cell_angle_beta 90.00
_cell_angle_gamma 90.00
loop_
_atom_site_label
_atom_site_fract_x
_atom_site_fract_y
_atom_site_fract_z
La1 0.0000 0.0000 0.0000
Nd1 0.0000 0.0000 0.5000
Nd2 0.0000 0.5000 0.2500
```

**Calculated formation energy**: 0.02 eV per atom
**E_tot**: -1.5967 Ha/atom
**Energy above the most stable polymorph in this dataset**: 2 meV/atom
**Crystal system**: tetragonal

Entry 5:
Computed, not measured: a PBEsol-optimized structure of LiCo2Bi2 at the SCAN level of DFT.

Structure (CIF):
```
data_LiCo2Bi2
_chemical_formula_sum 'Li2 Co4 Bi4'
_symmetry_space_group_name_H-M 'I 4/m m m'
_symmetry_Int_Tables_number 139
_symmetry_space_group_name_Hall '-I 4 2'
_cell_length_a 3.3990
_cell_length_b 3.3990
_cell_length_c 16.9375
_cell_angle_alpha 90.00
_cell_angle_beta 90.00
_cell_angle_gamma 90.00
loop_
_atom_site_label
_atom_site_fract_x
_atom_site_fract_y
_atom_site_fract_z
Li1 0.0000 0.0000 0.0000
Co1 0.0000 0.5000 0.2500
Bi1 0.0000 0.0000 0.3768
```

**Calculated formation energy**: 0.14 eV per atom
**E_tot**: -1.4220 Ha/atom
**Crystal system**: tetragonal

Entry 6:
Computed, not measured: a PBEsol-optimized structure of MgNiI3 at the SCAN level of DFT.

Structure (CIF):
```
data_MgNiI3
_chemical_formula_sum 'Mg1 Ni1 I3'
_symmetry_space_group_name_H-M 'P m -3 m'
_symmetry_Int_Tables_number 221
_symmetry_space_group_name_Hall '-P 4 2 3'
_cell_length_a 5.2005
_cell_length_b 5.2005
_cell_length_c 5.2005
_cell_angle_alpha 90.00
_cell_angle_beta 90.00
_cell_angle_gamma 90.00
loop_
_atom_site_label
_atom_site_fract_x
_atom_site_fract_y
_atom_site_fract_z
Mg1 0.0000 0.0000 0.0000
Ni1 0.5000 0.5000 0.5000
I1 0.0000 0.5000 0.5000
```

**E_tot**: -0.9658 Ha/atom
**Formation energy (no corrections)**: -6.9 meV/atom
**Crystal system**: cubic

| no. | total moment (Bohr magnetons per cell) |
| --- | --- |
| 1 | 47.8 |
| 2 | 0.0 |
| 3 | 11.8 |
| 4 | 0.0 |
| 5 | 7.5 |
| 6 | 0.0 |